(1)
The following is a DFT calculation (GGA-PBE) of a relaxed Ni2RuBr crystal.

Cell lengths 2.9453, 4.3348, 4.4057 Å; angles 90.00, 90.00, 90.00 degrees
Last column: nearest neighbours and their distance in Å.
Element x y z (fractional)
Ni (0.0000, 0.0000, 0.0000)  4 Br 2.62, 4 Ni 2.65
Ni (0.5000, 0.0000, 0.5000)  4 Ru 2.62, 4 Ni 2.65
Ru (0.0000, 0.5000, 0.5000)  4 Ni 2.62, 4 Br 2.65
Br (0.5000, 0.5000, 0.0000)  4 Ni 2.62, 4 Ru 2.65

## Properties
Formation energy from raw total energies   0.771 eV per atom
Crystal system   orthorhombic

=====

(2)
The following is a DFT calculation (GGA-PBE) of a relaxed Ca2DyAu3 crystal.

Cell lengths 8.1517, 8.1517, 3.6182 Å; angles 90.00, 90.00, 143.56 degrees
Last column: nearest neighbours and their distance in Å.
Element x y z (fractional)
Ca (0.1689, 0.8311, 0.0000)  8 Au 3.13-3.26
Ca (0.8311, 0.1689, 0.0000)  8 Au 3.13-3.26
Dy (0.5000, 0.5000, 0.0000)  8 Au 3.02-3.13
Au (0.0000, 0.0000, 0.5000)  4 Dy 3.13, 4 Ca 3.18
Au (0.3441, 0.6559, 0.5000)  2 Dy 3.02, 6 Ca 3.13-3.26
Au (0.6559, 0.3441, 0.5000)  2 Dy 3.02, 6 Ca 3.13-3.26

## Properties
Energy relative to the elements   -18.9 kcal/mol of atoms
Crystal system   orthorhombic

=====

(3)
The following is a DFT calculation (GGA-PBE) of a relaxed K3Rh crystal.

Cell lengths 5.7289, 5.7289, 6.2598 Å; angles 90.37, 90.37, 60.26 degrees
Last column: nearest neighbours and their distance in Å.
Element x y z (fractional)
K (0.0000, 0.0000, 0.0000)  2 Rh 3.13
K (0.3335, 0.3335, 0.6057)  3 Rh 3.37-3.38, 3 K 3.56-3.57
K (0.6665, 0.6665, 0.3943)  3 Rh 3.37-3.38, 3 K 3.56-3.57
Rh (0.0000, 0.0000, 0.5000)  8 K 3.13-3.38

## Properties
Energy relative to the elements   12.1 kcal/mol of atoms
Crystal system   monoclinic

=====

(4)
The following is a DFT calculation (GGA-PBE) of a relaxed AcTbPr2Tm4 crystal.

Cell lengths 9.6281, 9.6281, 6.8954 Å; angles 110.98, 110.98, 88.49 degrees
Last column: nearest neighbours and their distance in Å.
Element x y z (fractional)
Ac (0.0000, 0.5000, 0.0000)  2 Pr 3.45, 6 Tm 3.47-3.49
Ac (0.5000, 0.0000, 0.5000)  2 Pr 3.45, 6 Tm 3.47-3.49
Tb (0.0000, 0.0000, 0.0000)  6 Tm 3.30-3.40, 2 Tb 3.45
Tb (0.0000, 0.0000, 0.5000)  6 Tm 3.30-3.40, 2 Tb 3.45
Pr (0.0000, 0.5000, 0.5000)  6 Tm 3.25-3.41, 2 Ac 3.45
Pr (0.5000, 0.0000, 0.0000)  6 Tm 3.25-3.41, 2 Ac 3.45
Pr (0.5000, 0.5000, 0.0000)  6 Tm 3.42-3.51, 2 Pr 3.45
Pr (0.5000, 0.5000, 0.5000)  6 Tm 3.42-3.51, 2 Pr 3.45
Tm (0.2366, 0.2530, 0.4940)  3 Pr 3.25-3.51, 2 Tb 3.39-3.40, 2 Tm 3.45, 1 Ac 3.47
Tm (0.2453, 0.7546, 0.5124)  2 Tm 3.28-3.62, 1 Tb 3.30, 3 Pr 3.41-3.42, 2 Ac 3.49
Tm (0.2454, 0.7547, 0.9876)  2 Tm 3.28-3.62, 1 Tb 3.30, 3 Pr 3.41-3.42, 2 Ac 3.49
Tm (0.2530, 0.2366, 0.9940)  3 Pr 3.25-3.51, 2 Tb 3.39-3.40, 2 Tm 3.45, 1 Ac 3.47
Tm (0.7470, 0.7634, 0.0060)  3 Pr 3.25-3.51, 2 Tb 3.39-3.40, 2 Tm 3.45, 1 Ac 3.47
Tm (0.7546, 0.2453, 0.0124)  2 Tm 3.28-3.62, 1 Tb 3.30, 3 Pr 3.41-3.42, 2 Ac 3.49
Tm (0.7547, 0.2454, 0.4876)  2 Tm 3.28-3.62, 1 Tb 3.30, 3 Pr 3.41-3.42, 2 Ac 3.49
Tm (0.7634, 0.7470, 0.5060)  3 Pr 3.25-3.51, 2 Tb 3.39-3.40, 2 Tm 3.45, 1 Ac 3.47

## Properties
Energy relative to the elements   9.9 kcal/mol of atoms
Crystal system   monoclinic

=====

| no. | density of states at the Fermi level (states/eV/f.u.) | DFT total energy (eV/atom) |
| --- | --- | --- |
| 1 | 5.932 | -4.857 |
| 2 | 3.695 | -3.890 |
| 3 | 6.082 | -2.134 |
| 4 | 18.440 | -4.094 |